Record 1
PmYHo6 | PBE-GGA | optimized geometry

Cell and atoms, written as CIF:
```
data_PmYHo6
_space_group_name_H-M_alt 'R -3'
_space_group_IT_number 148
_space_group_name_Hall '-R 3'
_cell_length_a 9.6147
_cell_length_b 9.6147
_cell_length_c 9.7718
_cell_angle_alpha 90.00
_cell_angle_beta 90.00
_cell_angle_gamma 120.00
loop_
_atom_site_label
_atom_site_type_symbol
_atom_site_fract_x
_atom_site_fract_y
_atom_site_fract_z
Pm1 Pm 0.0000 0.0000 0.0000
Y1 Y 0.0000 0.0000 0.5000
Ho1 Ho 0.9999 0.2964 0.7487
```

DFT formation energy = 0.150 eV per atom
calculated total energy = -112.434 eV/cell
offset from the most stable computed form = 0.000 eV per atom


Record 2
AgSnAsI2 | PBE-GGA | optimized geometry

Cell and atoms, written as CIF:
```
data_AgSnAsI2
_space_group_name_H-M_alt 'P 4/m m m'
_space_group_IT_number 123
_space_group_name_Hall '-P 4 2'
_cell_length_a 5.679
_cell_length_b 5.679
_cell_length_c 5.508
_cell_angle_alpha 90.00
_cell_angle_beta 90.00
_cell_angle_gamma 90.00
loop_
_atom_site_label
_atom_site_type_symbol
_atom_site_fract_x
_atom_site_fract_y
_atom_site_fract_z
Ag1 Ag 0.000 0.000 0.000
Sn1 Sn 0.000 0.000 0.500
As1 As 0.500 0.500 0.500
I1 I 0.000 0.500 0.000
```

formation energy (no corrections) = 0.62 eV/atom
calculated total energy = -11.482 eV/cell


Record 3
Dy2Ho7Tl2 | PBE-GGA | optimized geometry

Cell and atoms, written as CIF:
```
data_Dy2Ho7Tl2
_space_group_name_H-M_alt 'I m m 2'
_space_group_IT_number 44
_cell_length_a 3.635
_cell_length_b 19.677
_cell_length_c 9.624
_cell_angle_alpha 90.00
_cell_angle_beta 90.00
_cell_angle_gamma 90.00
loop_
_space_group_symop_operation_xyz
'x,y,z'
'-x,-y,z'
'-x,y,z'
'x,-y,z'
'x+1/2,y+1/2,z+1/2'
'-x+1/2,-y+1/2,z+1/2'
'-x+1/2,y+1/2,z+1/2'
'x+1/2,-y+1/2,z+1/2'
loop_
_atom_site_label
_atom_site_type_symbol
_atom_site_fract_x
_atom_site_fract_y
_atom_site_fract_z
Dy1 Dy 0.000 0.000 0.000
Dy2 Dy 0.000 0.500 0.171
Ho1 Ho 0.000 0.000 0.347
Ho2 Ho 0.000 0.132 0.817
Ho3 Ho 0.000 0.341 0.008
Ho4 Ho 0.000 0.367 0.637
Tl1 Tl 0.000 0.243 0.295
```

DFT formation energy = -0.018 eV per atom
calculated total energy = -92.368 eV/cell


Record 4
Li7Y7Zr9S32 | PBE-GGA | optimized geometry

Cell and atoms, written as CIF:
```
data_Li7Y7Zr9S32
_space_group_name_H-M_alt 'P 1'
_space_group_IT_number 1
_cell_length_a 7.697
_cell_length_b 7.758
_cell_length_c 25.177
_cell_angle_alpha 82.54
_cell_angle_beta 82.24
_cell_angle_gamma 61.19
loop_
_space_group_symop_operation_xyz
'x,y,z'
loop_
_atom_site_label
_atom_site_type_symbol
_atom_site_fract_x
_atom_site_fract_y
_atom_site_fract_z
Li1 Li 0.000 0.000 0.000
Li2 Li 0.066 0.065 0.812
Li3 Li 0.262 0.239 0.247
Li4 Li 0.508 0.494 0.500
Li5 Li 0.575 0.555 0.312
Li6 Li 0.751 0.747 0.753
Li7 Li 0.823 0.810 0.561
Y1 Y 0.032 0.533 0.908
Y2 Y 0.045 0.524 0.405
Y3 Y 0.288 0.779 0.656
Y4 Y 0.529 0.035 0.907
Y5 Y 0.543 0.025 0.404
Y6 Y 0.785 0.277 0.154
Y7 Y 0.787 0.279 0.656
Zr1 Zr 0.044 0.025 0.405
Zr2 Zr 0.167 0.152 0.531
Zr3 Zr 0.288 0.280 0.656
Zr4 Zr 0.293 0.771 0.153
Zr5 Zr 0.409 0.406 0.782
Zr6 Zr 0.526 0.530 0.908
Zr7 Zr 0.654 0.656 0.032
Zr8 Zr 0.786 0.771 0.154
Zr9 Zr 0.921 0.897 0.279
S1 S 0.092 0.610 0.215
S2 S 0.102 0.064 0.216
S3 S 0.111 0.102 0.714
S4 S 0.119 0.570 0.718
S5 S 0.210 0.735 0.342
S6 S 0.220 0.202 0.346
S7 S 0.230 0.234 0.841
S8 S 0.241 0.698 0.844
S9 S 0.334 0.861 0.467
S10 S 0.345 0.324 0.470
S11 S 0.355 0.358 0.965
S12 S 0.364 0.824 0.970
S13 S 0.455 0.988 0.593
S14 S 0.464 0.455 0.598
S15 S 0.468 0.489 0.094
S16 S 0.482 0.941 0.098
S17 S 0.577 0.115 0.719
S18 S 0.587 0.579 0.722
S19 S 0.594 0.605 0.213
S20 S 0.629 0.063 0.218
S21 S 0.699 0.242 0.844
S22 S 0.708 0.710 0.850
S23 S 0.746 0.723 0.338
S24 S 0.756 0.188 0.341
S25 S 0.820 0.367 0.971
S26 S 0.827 0.834 0.975
S27 S 0.866 0.849 0.462
S28 S 0.877 0.316 0.467
S29 S 0.945 0.491 0.094
S30 S 0.979 0.944 0.099
S31 S 0.989 0.979 0.589
S32 S 0.999 0.443 0.592
```

formation energy (no corrections) = -1.69 eV/atom
calculated total energy = -360.518 eV/cell


Record 5
Nd2GeBRh6 | PBE-GGA | optimized geometry

Cell and atoms, written as CIF:
```
data_Nd2GeBRh6
_space_group_name_H-M_alt 'P m m n'
_space_group_IT_number 59
_cell_length_a 6.391
_cell_length_b 8.742
_cell_length_c 6.196
_cell_angle_alpha 90.00
_cell_angle_beta 90.00
_cell_angle_gamma 90.00
loop_
_space_group_symop_operation_xyz
'x,y,z'
'-x,-y,-z'
'-x+1/2,-y+1/2,z'
'x+1/2,y+1/2,-z'
'x+1/2,-y,-z'
'-x+1/2,y,z'
'-x,y+1/2,-z'
'x,-y+1/2,z'
loop_
_atom_site_label
_atom_site_type_symbol
_atom_site_fract_x
_atom_site_fract_y
_atom_site_fract_z
Nd1 Nd 0.250 0.003 0.239
Ge1 Ge 0.250 0.750 0.814
B1 B 0.250 0.250 0.685
Rh1 Rh 0.016 0.750 0.504
Rh2 Rh 0.038 0.250 0.954
Rh3 Rh 0.250 0.015 0.713
```

DFT formation energy = -0.607 eV per atom
calculated total energy = -142.028 eV/cell


Record 6
AcLaTl2 | PBE-GGA | optimized geometry

Cell and atoms, written as CIF:
```
data_AcLaTl2
_space_group_name_H-M_alt 'P 4/m m m'
_space_group_IT_number 123
_space_group_name_Hall '-P 4 2'
_cell_length_a 4.065
_cell_length_b 4.065
_cell_length_c 8.077
_cell_angle_alpha 90.00
_cell_angle_beta 90.00
_cell_angle_gamma 90.00
loop_
_atom_site_label
_atom_site_type_symbol
_atom_site_fract_x
_atom_site_fract_y
_atom_site_fract_z
Ac1 Ac 0.000 0.000 0.000
La1 La 0.000 0.000 0.500
Tl1 Tl 0.500 0.500 0.262
```

DFT formation energy = -0.385 eV per atom
calculated total energy = -15.307 eV/cell


Record 7
Sr2ZrTl | PBE-GGA | optimized geometry

Cell and atoms, written as CIF:
```
data_Sr2ZrTl
_space_group_name_H-M_alt 'I 4/m m m'
_space_group_IT_number 139
_space_group_name_Hall '-I 4 2'
_cell_length_a 4.912
_cell_length_b 4.912
_cell_length_c 10.530
_cell_angle_alpha 90.00
_cell_angle_beta 90.00
_cell_angle_gamma 90.00
loop_
_atom_site_label
_atom_site_type_symbol
_atom_site_fract_x
_atom_site_fract_y
_atom_site_fract_z
Sr1 Sr 0.000 0.500 0.250
Zr1 Zr 0.000 0.000 0.000
Tl1 Tl 0.000 0.000 0.500
```

DFT formation energy = 0.265 eV per atom
calculated total energy = -26.432 eV/cell
offset from the most stable computed form = 0.144 eV per atom


Record 8
TlW | PBE-GGA | optimized geometry

Cell and atoms, written as CIF:
```
data_TlW
_space_group_name_H-M_alt 'P m m n'
_space_group_IT_number 59
_cell_length_a 2.917
_cell_length_b 5.200
_cell_length_c 5.141
_cell_angle_alpha 90.00
_cell_angle_beta 90.00
_cell_angle_gamma 90.00
loop_
_space_group_symop_operation_xyz
'x,y,z'
'-x,-y,-z'
'-x+1/2,-y+1/2,z'
'x+1/2,y+1/2,-z'
'x+1/2,-y,-z'
'-x+1/2,y,z'
'-x,y+1/2,-z'
'x,-y+1/2,z'
loop_
_atom_site_label
_atom_site_type_symbol
_atom_site_fract_x
_atom_site_fract_y
_atom_site_fract_z
Tl1 Tl 0.250 0.250 0.089
W1 W 0.250 0.750 0.420
```

DFT formation energy = 1.098 eV per atom
calculated total energy = -26.245 eV/cell
offset from the most stable computed form = 0.474 eV per atom


Copy entry 3 word for word.
Dy2Ho7Tl2 | PBE-GGA | optimized geometry

Cell and atoms, written as CIF:
```
data_Dy2Ho7Tl2
_space_group_name_H-M_alt 'I m m 2'
_space_group_IT_number 44
_cell_length_a 3.635
_cell_length_b 19.677
_cell_length_c 9.624
_cell_angle_alpha 90.00
_cell_angle_beta 90.00
_cell_angle_gamma 90.00
loop_
_space_group_symop_operation_xyz
'x,y,z'
'-x,-y,z'
'-x,y,z'
'x,-y,z'
'x+1/2,y+1/2,z+1/2'
'-x+1/2,-y+1/2,z+1/2'
'-x+1/2,y+1/2,z+1/2'
'x+1/2,-y+1/2,z+1/2'
loop_
_atom_site_label
_atom_site_type_symbol
_atom_site_fract_x
_atom_site_fract_y
_atom_site_fract_z
Dy1 Dy 0.000 0.000 0.000
Dy2 Dy 0.000 0.500 0.171
Ho1 Ho 0.000 0.000 0.347
Ho2 Ho 0.000 0.132 0.817
Ho3 Ho 0.000 0.341 0.008
Ho4 Ho 0.000 0.367 0.637
Tl1 Tl 0.000 0.243 0.295
```

DFT formation energy = -0.018 eV per atom
calculated total energy = -92.368 eV/cell


> Look up the calculated total energy of the third one.

-92.368 eV/cell


> Which formula does entry 7 have?

Sr2ZrTl